Ac4ScIn3 | PBE | optimized geometry Values from VASP.

Calculated values
For the total moment, the calculation gives 0.06 μB/cell. The calculation puts the total energy at -4.125 eV/atom.

Cell and atoms, written as Quantum ESPRESSO input:
```
&SYSTEM
  ibrav = 0, nat = 8, ntyp = 3
/
ATOMIC_SPECIES
Sc 44.96 Sc.upf
Ac 227.00 Ac.upf
In 114.82 In.upf
CELL_PARAMETERS angstrom
5.6105 0.0000 -1.5145
-0.4017 5.6029 -1.4883
-0.5441 -0.6282 9.1338
ATOMIC_POSITIONS angstrom
Sc 2.8052 0.0000 -0.7572
Ac 1.5441 1.6301 5.7203
Ac 3.1205 3.3446 0.4108
Ac 0.5161 0.5438 1.9120
Ac 4.1485 4.4309 4.2191
In -0.2009 2.8015 -0.7442
In 3.8122 1.0608 2.9732
In 0.8524 3.9139 3.1579
```